No. 1
# GeMoAsSe2 (PBE, relaxed)
data_GeMoAsSe2
_symmetry_space_group_name_H-M 'P 4/m m m'
_symmetry_Int_Tables_number 123
_symmetry_space_group_name_Hall '-P 4 2'
_cell_length_a 4.934
_cell_length_b 4.934
_cell_length_c 4.878
_cell_angle_alpha 90.00
_cell_angle_beta 90.00
_cell_angle_gamma 90.00
loop_
_atom_site_label
_atom_site_type_symbol
_atom_site_fract_x
_atom_site_fract_y
_atom_site_fract_z
_atom_site_occupancy
Ge1 Ge 0.000 0.000 0.000 1
Mo1 Mo 0.500 0.500 0.500 1
As1 As 0.000 0.000 0.500 1
Se1 Se 0.000 0.500 0.000 1
# **Magnetization**: 2.80 μB per formula unit
# **Calculated volume**: 119 Å³/cell
# **E_form (uncorrected)**: 1.0071 eV/atom

=====

No. 2
# Ge2TeMoAs (PBE, relaxed)
data_Ge2TeMoAs
_symmetry_space_group_name_H-M 'P 4/m m m'
_symmetry_Int_Tables_number 123
_symmetry_space_group_name_Hall '-P 4 2'
_cell_length_a 5.034
_cell_length_b 5.034
_cell_length_c 4.807
_cell_angle_alpha 90.00
_cell_angle_beta 90.00
_cell_angle_gamma 90.00
loop_
_atom_site_label
_atom_site_type_symbol
_atom_site_fract_x
_atom_site_fract_y
_atom_site_fract_z
_atom_site_occupancy
Ge1 Ge 0.000 0.500 0.000 1
Te1 Te 0.000 0.000 0.500 1
Mo1 Mo 0.500 0.500 0.000 1
As1 As 0.500 0.500 0.500 1
# **Magnetization**: 0.75 μB per formula unit
# **Calculated volume**: 122 Å³/cell
# **E_form (uncorrected)**: 0.3727 eV/atom